DFT (PBE) results for an optimized crystal structure of Er2Al3Tl.

Lattice parameters (Å, degrees): 4.386 13.754 4.425 90.00 90.00 90.00
Space group Cmmm (No. 65)
Asymmetric unit:
Er  0.000  0.157  0.000 (multiplicity 4)
Al  0.000  0.000  0.500 (multiplicity 2)
Al  0.000  0.319  0.500 (multiplicity 4)
Tl  0.000  0.500  0.000 (multiplicity 2)

## Properties
- Crystal system: orthorhombic
- Uncorrected energy: -48.9 eV per cell

---

DFT (PBE) results for an optimized crystal structure of AcSmPa.

Lattice parameters (Å, degrees): 7.691 7.691 7.691 90.00 90.00 90.00
Space group F-43m (No. 216)
Asymmetric unit:
Ac  0.000  0.000  0.000 (multiplicity 4)
Sm  0.250  0.250  0.250 (multiplicity 4)
Pa  0.000  0.000  0.500 (multiplicity 4)

## Properties
- Excess energy over the best structure of this formula in the dataset: 0.00 eV per formula unit
- Crystal system: cubic

---

DFT (PBE) results for an optimized crystal structure of NdBiTe.

Lattice parameters (Å, degrees): 7.584 7.584 7.584 90.00 90.00 90.00
Space group F-43m (No. 216)
Asymmetric unit:
Nd  0.000  0.000  0.000 (multiplicity 4)
Bi  0.250  0.250  0.750 (multiplicity 4)
Te  0.250  0.250  0.250 (multiplicity 4)

## Properties
- Crystal system: cubic
- Uncorrected energy: -54.5 eV per cell

---

DFT (PBE) results for an optimized crystal structure of PmZn2.

Lattice parameters (Å, degrees): 5.8534 5.8534 4.3354 90.00 90.00 120.00
Space group P-62m (No. 189)
Asymmetric unit:
Pm  0.3333  0.6667  0.0000 (multiplicity 2)
Zn  0.0000  0.0000  0.0000 (multiplicity 1)
Zn  0.0000  0.2632  0.5000 (multiplicity 3)

## Properties
- Excess energy over the best structure of this formula in the dataset: 0.54 eV per formula unit
- Crystal system: hexagonal

---

DFT (PBE) results for an optimized crystal structure of NaMgTeIr.

Lattice parameters (Å, degrees): 6.673 6.673 6.673 90.00 90.00 90.00
Space group F-43m (No. 216)
Asymmetric unit:
Na  0.000  0.000  0.000 (multiplicity 4)
Mg  0.250  0.250  0.750 (multiplicity 4)
Te  0.250  0.250  0.250 (multiplicity 4)
Ir  0.000  0.000  0.500 (multiplicity 4)

## Properties
- Excess energy over the best structure of this formula in the dataset: 0.00 eV per formula unit
- Crystal system: cubic

---

DFT (PBE) results for an optimized crystal structure of Nd3N2O.

Lattice parameters (Å, degrees): 3.603 5.102 10.821 90.00 90.00 90.00
Space group Immm (No. 71)
Asymmetric unit:
Nd  0.000  0.000  0.000 (multiplicity 2)
Nd  0.000  0.000  0.329 (multiplicity 4)
N  0.000  0.500  0.332 (multiplicity 4)
O  0.000  0.500  0.000 (multiplicity 2)

## Properties
- Crystal system: orthorhombic
- Uncorrected energy: -94.7 eV per cell

---

DFT (PBE) results for an optimized crystal structure of Sc5AgIr4.

Lattice parameters (Å, degrees): 3.193 3.193 17.199 90.00 90.00 90.00
Space group P4/mmm (No. 123)
Asymmetric unit:
Sc  0.000  0.000  0.000 (multiplicity 1)
Sc  0.000  0.000  0.191 (multiplicity 2)
Sc  0.000  0.000  0.384 (multiplicity 2)
Ag  0.500  0.500  0.500 (multiplicity 1)
Ir  0.500  0.500  0.096 (multiplicity 2)
Ir  0.500  0.500  0.290 (multiplicity 2)

## Properties
- Crystal system: tetragonal
- Uncorrected energy: -78.9 eV per cell

---

DFT (PBE) results for an optimized crystal structure of DyHoIr.

Lattice parameters (Å, degrees): 7.191 4.606 8.712 90.00 90.00 90.00
Space group Pnma (No. 62)
Asymmetric unit:
Dy  0.142  0.250  0.081 (multiplicity 4)
Ho  0.010  0.250  0.663 (multiplicity 4)
Ir  0.243  0.250  0.407 (multiplicity 4)

## Properties
- Excess energy over the best structure of this formula in the dataset: 0.02 eV per formula unit
- Crystal system: orthorhombic

---

DFT (PBE) results for an optimized crystal structure of Tc2Sb.

Lattice parameters (Å, degrees): 12.282 12.282 12.282 90.00 90.00 90.00
Space group Fd-3m (No. 227, origin choice 2)
Asymmetric unit:
Tc  0.000  0.000  0.000 (multiplicity 16)
Sb  0.125  0.125  0.125 (multiplicity 8)

## Properties
- Excess energy over the best structure of this formula in the dataset: 7.33 eV per formula unit
- Crystal system: cubic

---

DFT (PBE) results for an optimized crystal structure of PaBePb.

Lattice parameters (Å, degrees): 6.485 6.485 6.485 90.00 90.00 90.00
Space group F-43m (No. 216)
Asymmetric unit:
Pa  0.000  0.000  0.000 (multiplicity 4)
Be  0.250  0.250  0.250 (multiplicity 4)
Pb  0.000  0.000  0.500 (multiplicity 4)

## Properties
- Excess energy over the best structure of this formula in the dataset: 0.00 eV per formula unit
- Crystal system: cubic

---

DFT (PBE) results for an optimized crystal structure of Sm4C2I2BrCl2.

Lattice parameters (Å, degrees): 19.183 3.923 8.217 90.00 102.70 90.00
Space group C2/m (No. 12)
Asymmetric unit:
Sm  0.003  0.000  0.302 (multiplicity 4)
Sm  0.156  0.500  0.584 (multiplicity 4)
C  0.038  0.500  0.520 (multiplicity 4)
I  0.164  0.000  0.877 (multiplicity 4)
Br  0.000  0.500  0.000 (multiplicity 2)
Cl  0.170  0.000  0.345 (multiplicity 4)

## Properties
- Excess energy over the best structure of this formula in the dataset: 0.17 eV per formula unit
- Crystal system: monoclinic

---

DFT (PBE) results for an optimized crystal structure of Rb2Hg2O3.

Lattice parameters (Å, degrees): 6.6864 6.6864 13.6852 90.00 90.00 120.00
Space group R-3m (No. 166, hexagonal axes)
Asymmetric unit:
Rb  0.0000  0.0000  0.0000 (multiplicity 3)
Rb  0.0000  0.0000  0.5000 (multiplicity 3)
Hg  0.0000  0.0000  0.2357 (multiplicity 6)
O  0.0000  0.5000  0.5000 (multiplicity 9)

## Properties
- Excess energy over the best structure of this formula in the dataset: 1.78 eV per formula unit
- Crystal system: trigonal

---

DFT (PBE) results for an optimized crystal structure of Li3PrEr2Pb3.

Lattice parameters (Å, degrees): 4.7590 4.7590 11.1861 90.00 90.00 120.00
Space group P-6m2 (No. 187)
Asymmetric unit:
Li  0.0000  0.0000  0.0000 (multiplicity 1)
Li  0.3333  0.6667  0.2985 (multiplicity 2)
Pr  0.6667  0.3333  0.5000 (multiplicity 1)
Er  0.6667  0.3333  0.1597 (multiplicity 2)
Pb  0.0000  0.0000  0.3164 (multiplicity 2)
Pb  0.3333  0.6667  0.0000 (multiplicity 1)

## Properties
- Crystal system: hexagonal
- Uncorrected energy: -35.1 eV per cell

---

DFT (PBE) results for an optimized crystal structure of NdHICl.

Lattice parameters (Å, degrees): 4.0257 4.0257 15.0945 90.00 90.00 120.00
Space group P-6m2 (No. 187)
Asymmetric unit:
Nd  0.0000  0.0000  0.0000 (multiplicity 1)
Nd  0.0000  0.0000  0.5000 (multiplicity 1)
H  0.3333  0.6667  0.0000 (multiplicity 1)
H  0.6667  0.3333  0.5000 (multiplicity 1)
I  0.6667  0.3333  0.1458 (multiplicity 2)
Cl  0.3333  0.6667  0.3846 (multiplicity 2)

## Properties
- Excess energy over the best structure of this formula in the dataset: 0.02 eV per formula unit
- Crystal system: hexagonal

---

DFT (PBE) results for an optimized crystal structure of SmZrNi4.

Lattice parameters (Å, degrees): 7.145 7.145 7.145 90.00 90.00 90.00
Space group F-43m (No. 216)
Asymmetric unit:
Sm  0.000  0.000  0.000 (multiplicity 4)
Zr  0.250  0.250  0.250 (multiplicity 4)
Ni  0.125  0.125  0.625 (multiplicity 16)

## Properties
- Crystal system: cubic
- Uncorrected energy: -150.1 eV per cell

---

DFT (PBE) results for an optimized crystal structure of KRbAsAu.

Lattice parameters (Å, degrees): 7.633 7.633 7.633 90.00 90.00 90.00
Space group F-43m (No. 216)
Asymmetric unit:
K  0.000  0.000  0.000 (multiplicity 4)
Rb  0.250  0.250  0.750 (multiplicity 4)
As  0.250  0.250  0.250 (multiplicity 4)
Au  0.000  0.000  0.500 (multiplicity 4)

## Properties
- Excess energy over the best structure of this formula in the dataset: 1.62 eV per formula unit
- Crystal system: cubic

---

DFT (PBE) results for an optimized crystal structure of Y4Ta2Cd3N3.

Lattice parameters (Å, degrees): 10.173 5.924 15.298 90.00 103.52 90.00
Space group C2/c (No. 15)
Asymmetric unit:
Y  0.116  0.074  0.093 (multiplicity 8)
Y  0.213  0.090  0.407 (multiplicity 8)
Ta  0.065  0.412  0.933 (multiplicity 8)
Cd  0.000  0.139  0.750 (multiplicity 4)
Cd  0.139  0.442  0.246 (multiplicity 8)
N  0.078  0.265  0.500 (multiplicity 8)
N  0.250  0.250  0.000 (multiplicity 4)

## Properties
- Crystal system: monoclinic
- Uncorrected energy: -347.5 eV per cell

---

DFT (PBE) results for an optimized crystal structure of ZrFeAgB.

Lattice parameters (Å, degrees): 6.177 6.177 6.177 90.00 90.00 90.00
Space group F-43m (No. 216)
Asymmetric unit:
Zr  0.000  0.000  0.000 (multiplicity 4)
Fe  0.000  0.000  0.500 (multiplicity 4)
Ag  0.250  0.250  0.750 (multiplicity 4)
B  0.250  0.250  0.250 (multiplicity 4)

## Properties
- Excess energy over the best structure of this formula in the dataset: 0.00 eV per formula unit
- Crystal system: cubic

---

DFT (PBE) results for an optimized crystal structure of ScAl2Hg.

Lattice parameters (Å, degrees): 4.864 10.450 5.949 90.00 90.00 90.00
Space group Ama2 (No. 40)
Asymmetric unit:
Sc  0.250  0.165  0.000 (multiplicity 4)
Al  0.250  0.157  0.489 (multiplicity 4)
Al  0.250  0.421  0.757 (multiplicity 4)
Hg  0.250  0.408  0.247 (multiplicity 4)

## Properties
- Crystal system: orthorhombic
- Uncorrected energy: -61.2 eV per cell

---

DFT (PBE) results for an optimized crystal structure of Na2HfTe2O.

Lattice parameters (Å, degrees): 7.404 11.772 7.500 90.00 104.57 90.00
Space group C2/m (No. 12)
Asymmetric unit:
Na  0.000  0.000  0.000 (multiplicity 2)
Na  0.000  0.160  0.500 (multiplicity 4)
Na  0.000  0.500  0.500 (multiplicity 2)
Hf  0.000  0.371  0.000 (multiplicity 4)
Te  0.248  0.181  0.229 (multiplicity 8)
O  0.132  0.500  0.149 (multiplicity 4)

## Properties
- Crystal system: monoclinic
- Uncorrected energy: -129.8 eV per cell